No. 1
Computed, not measured: a geometry-optimized BaBe2PdPt structure at the PBEsol level of DFT.

The calculation puts the formation enthalpy at 0 K at -0.113 eV per atom. The value obtained for the total energy is -23.64 eV/cell. As for the total magnetic moment: 0.000 μB per atom.

It has space group P4/mmm (No. 123), with a = 4.330 Å, b = 4.330 Å, c = 5.322 Å, α = 90.00°, β = 90.00° and γ = 90.00°. Symmetry generates all atoms from Ba at (0.000, 0.000, 0.000), Be at (0.000, 0.500, 0.500), Pd at (0.500, 0.500, 0.000) and Pt at (0.500, 0.500, 0.500).

No. 2
Computed, not measured: a geometry-optimized LiY2P2 structure at the PBEsol level of DFT.

The calculation puts the formation enthalpy at 0 K at -1.191 eV per atom. The value obtained for the total energy is -66.30 eV/cell. As for the total magnetic moment: 0.101 μB per atom.

It has space group P4/mbm (No. 127), with a = 7.333 Å, b = 7.333 Å, c = 3.727 Å, α = 90.00°, β = 90.00° and γ = 90.00°. Symmetry generates all atoms from Li at (0.000, 0.000, 0.000), Y at (0.154, 0.346, 0.500) and P at (0.156, 0.656, 0.000).